Here is a relaxed La4CuTcBr2 crystal from Alexandria. Energies are from PBE-GGA.

Calculated values
Its total magnetization is 0.0 μB/cell. For the formation energy from raw total energies, the calculation gives -0.7259 eV/atom. The volume comes out at 243 Å³ per cell. The symmetry is P2/m, No. 10.

Unit cell a=4.2382 b=7.1838 c=8.3492 alpha=106.92 beta=90.00 gamma=90.00
Closest atoms and distances in Å follow each position.
Positions (direct):
La (0.5000, 0.2503, 0.1988)  1 Tc 2.78, 2 Cu 2.96
Br (0.5000, 0.0000, 0.5000)  6 La 3.42-3.49
Br (0.0000, 0.5000, 0.5000)  6 La 3.32-3.38
La (0.5000, 0.7497, 0.8012)  1 Tc 2.78, 2 Cu 2.96
La (0.0000, 0.2766, 0.7966)  2 Tc 2.89, 1 Cu 2.97
La (0.0000, 0.7234, 0.2034)  2 Tc 2.89, 1 Cu 2.97
Cu (0.0000, 0.0000, 0.0000)  6 La 2.96-2.97
Tc (0.5000, 0.5000, 0.0000)  6 La 2.78-2.89